{
  "formula": "Th3Si2Au3",
  "functional": "PBE",
  "state": "relaxed",
  "n_ef_per_ev_fu": 6.7,
  "dft_energy_ev_per_atom": -6.049,
  "formation_energy_uncorrected_ev_per_atom": -0.68,
  "sg": "Cmcm (63)",
  "lattice": [[2.1923, -5.4859, 0.0000], [2.1923, 5.4859, 0.0000], [0.0000, 0.0000, 15.2577]],
  "species": ["Th", "Th", "Th", "Th", "Th", "Th", "Si", "Si", "Si", "Si", "Au", "Au", "Au", "Au", "Au", "Au"],
  "fractional_positions": [[0.0846, 0.9154, 0.6039], [0.0846, 0.9154, 0.8961], [0.3637, 0.6363, 0.7500], [0.6363, 0.3637, 0.2500], [0.9154, 0.0846, 0.1039], [0.9154, 0.0846, 0.3961], [0.2028, 0.7972, 0.1114], [0.2028, 0.7972, 0.3886], [0.7972, 0.2028, 0.6114], [0.7972, 0.2028, 0.8886], [0.3595, 0.6405, 0.2500], [0.3747, 0.6253, 0.5379], [0.3747, 0.6253, 0.9621], [0.6253, 0.3747, 0.0379], [0.6253, 0.3747, 0.4621], [0.6405, 0.3595, 0.7500]]
}